Compound: Sr2TaTlW
Source: Alexandria via LeMat-Bulk
Functional: PBE
Structure: relaxed

Results
DOS at the Fermi energy: 7.00 states/eV/cell
calculated density: 6.87 Mg/m³
total magnetic moment: 0.0 μB/cell
calculated volume: 180.0 Å³ per cell
DFT total energy: -25.2 eV for the cell shown
ΔE_f: 1058.6 meV per atom

CIF file:
```
data_Sr2TaTlW
_chemical_formula_sum 'Sr2 Ta1 Tl1 W1'
_cell_length_a 6.130
_cell_length_b 6.130
_cell_length_c 4.790
_cell_angle_alpha 90.00
_cell_angle_beta 90.00
_cell_angle_gamma 90.00
_space_group_name_H-M_alt 'P 4/m m m'
_space_group_IT_number 123
_space_group_name_Hall '-P 4 2'
loop_
_atom_site_label
_atom_site_fract_x
_atom_site_fract_y
_atom_site_fract_z
Sr1 0.000 0.500 0.000
Ta1 0.000 0.000 0.500
Tl1 0.500 0.500 0.500
W1 0.000 0.000 0.000
```